Record 1
Here is a geometry-optimized BeIn2C structure from the Alexandria database. Energies are from PBE.

Unit cell a=6.117 b=6.117 c=6.117 alpha=121.57 beta=121.57 gamma=87.29
Sites, in units of the cell vectors:
Be 0.000 0.000 0.000
Be 0.750 0.250 0.500
In 0.179 0.625 0.054
In 0.375 0.429 0.554
In 0.571 0.125 0.946
In 0.875 0.821 0.446
C 0.250 0.750 0.500
C 0.500 0.500 0.000

Calculated values
Density, Mg/m³: 5.28
Relative energy among the computed polymorphs, eV per atom: 0.0000
Crystal system: tetragonal
M_tot, μB per formula unit: 0.0
E_form, eV per atom: 1.073
Fermi-level density of states, states/eV per atom: 0.07

---

Record 2
Here is a geometry-optimized GaCuPd4 structure from the Alexandria database. Energies are from PBE.

Unit cell a=7.186 b=2.865 c=17.259 alpha=90.00 beta=90.00 gamma=90.00
Sites, in units of the cell vectors:
Ga 0.249 0.250 0.047
Ga 0.251 0.750 0.547
Ga 0.749 0.250 0.453
Ga 0.751 0.750 0.953
Cu 0.211 0.250 0.812
Cu 0.289 0.750 0.312
Cu 0.711 0.250 0.688
Cu 0.789 0.750 0.188
Pd 0.017 0.750 0.713
Pd 0.038 0.750 0.426
Pd 0.105 0.750 0.936
Pd 0.160 0.750 0.164
Pd 0.340 0.250 0.664
Pd 0.395 0.250 0.436
Pd 0.462 0.250 0.926
Pd 0.483 0.250 0.213
Pd 0.517 0.750 0.787
Pd 0.538 0.750 0.074
Pd 0.605 0.750 0.564
Pd 0.660 0.750 0.336
Pd 0.840 0.250 0.836
Pd 0.895 0.250 0.064
Pd 0.962 0.250 0.574
Pd 0.983 0.250 0.287

Calculated values
Density, Mg/m³: 10.45
Relative energy among the computed polymorphs, eV per atom: 0.0445
Crystal system: orthorhombic
M_tot, μB per formula unit: 0.0
E_form, eV per atom: -0.336
Fermi-level density of states, states/eV per atom: 0.45

---

Record 3
Here is a geometry-optimized NiHPd structure from the Alexandria database. Energies are from PBE.

Unit cell a=2.719 b=4.499 c=5.213 alpha=91.25 beta=104.54 gamma=106.86
Sites, in units of the cell vectors:
Ni 0.082 0.267 0.390
Ni 0.918 0.733 0.610
H 0.344 0.498 0.694
H 0.656 0.502 0.306
Pd 0.231 0.795 0.150
Pd 0.769 0.205 0.850

Calculated values
Density, Mg/m³: 9.39
Crystal system: triclinic
Uncorrected energy, eV/atom: -4.755
M_tot, μB per formula unit: 0.3
Fermi-level density of states, states/eV per atom: 1.32